Entry 1:
# FeHg2Se

An optimized crystal structure of FeHg2Se (PBE, the Alexandria database).

a b c (Å): 9.4814 9.4814 4.3397
angles (deg): 90.00 90.00 90.00
Space group I-42d (No. 122)
Inequivalent atoms, fractional coordinates:
Fe (0.0000, 0.0000, 0.0000) x4
Hg (0.1256, 0.2500, 0.1250) x8
Se (0.0000, 0.0000, 0.5000) x4

Summary:
calculated volume	24.4	A^3/atom
DFT total energy	-45.292	eV/cell

***

Entry 2:
# FeHg2Se

An optimized crystal structure of FeHg2Se (PBE, the Alexandria database).

a b c (Å): 3.8936 3.8936 5.4930
angles (deg): 90.00 90.00 90.00
Space group P4/mmm (No. 123)
Inequivalent atoms, fractional coordinates:
Fe (0.0000, 0.0000, 0.0000) x1
Hg (0.5000, 0.5000, 0.2449) x2
Se (0.0000, 0.0000, 0.5000) x1

Summary:
calculated volume	20.8	A^3/atom
DFT total energy	-10.699	eV/cell

***

Entry 3:
# FeHgSe

An optimized crystal structure of FeHgSe (PBE, the Alexandria database).

a b c (Å): 3.6752 3.6752 10.9836
angles (deg): 90.00 90.00 90.00
Space group P4/nmm (No. 129, origin choice 2)
Inequivalent atoms, fractional coordinates:
Fe (0.2500, 0.7500, 0.0000) x2
Hg (0.2500, 0.2500, 0.3952) x2
Se (0.2500, 0.2500, 0.8733) x2

Summary:
calculated volume	24.7	A^3/atom
DFT total energy	-25.530	eV/cell

***

Entry 4:
# FeHg2Se

An optimized crystal structure of FeHg2Se (PBE, the Alexandria database).

a b c (Å): 3.2869 3.2869 27.3788
angles (deg): 90.00 90.00 120.00
Space group R3m (No. 160, hexagonal axes)
Inequivalent atoms, fractional coordinates:
Fe (0.0000, 0.0000, 0.0000) x3
Hg (0.0000, 0.0000, 0.2593) x3
Hg (0.0000, 0.0000, 0.4923) x3
Se (0.0000, 0.0000, 0.7130) x3

Summary:
calculated volume	21.3	A^3/atom
DFT total energy	-37.099	eV/cell

***

Entry 5:
# FeHgSe2

An optimized crystal structure of FeHgSe2 (PBE, the Alexandria database).

a b c (Å): 3.3826 3.3826 29.1686
angles (deg): 90.00 90.00 120.00
Space group R-3m (No. 166, hexagonal axes)
Inequivalent atoms, fractional coordinates:
Fe (0.0000, 0.0000, 0.0000) x3
Hg (0.0000, 0.0000, 0.5000) x3
Se (0.0000, 0.0000, 0.3818) x6

Summary:
calculated volume	24.1	A^3/atom
DFT total energy	-49.401	eV/cell

***

Entry 6:
# FeHgSe2

An optimized crystal structure of FeHgSe2 (PBE, the Alexandria database).

a b c (Å): 3.6900 3.7691 7.5470
angles (deg): 90.00 90.00 90.00
Space group Pmmm (No. 47)
Inequivalent atoms, fractional coordinates:
Fe (0.0000, 0.0000, 0.0000) x1
Hg (0.0000, 0.5000, 0.5000) x1
Se (0.5000, 0.0000, 0.5000) x1
Se (0.5000, 0.5000, 0.0000) x1

Summary:
calculated volume	26.2	A^3/atom
DFT total energy	-14.460	eV/cell

***

Entry 7:
# FeHgSe2

An optimized crystal structure of FeHgSe2 (PBE, the Alexandria database).

a b c (Å): 2.8314 6.1156 12.1083
angles (deg): 90.00 90.00 90.00
Space group Immm (No. 71)
Inequivalent atoms, fractional coordinates:
Fe (0.0000, 0.0000, 0.0000) x2
Hg (0.0000, 0.0000, 0.5000) x2
Se (0.0000, 0.5000, 0.3442) x4

Summary:
calculated volume	26.2	A^3/atom
DFT total energy	-31.722	eV/cell

***

Entry 8:
# U3FeHg3Se8

An optimized crystal structure of U3FeHg3Se8 (PBE, the Alexandria database).

a b c (Å): 7.9270 7.9270 28.6539
angles (deg): 90.00 90.00 120.00
Space group R-3m (No. 166, hexagonal axes)
Inequivalent atoms, fractional coordinates:
U (0.0000, 0.5000, 0.0000) x9
Fe (0.0000, 0.0000, 0.0000) x3
Hg (0.0000, 0.5000, 0.5000) x9
Se (0.0000, 0.0000, 0.2769) x6
Se (0.0143, 0.5071, 0.7193) x18

Summary:
calculated volume	34.7	A^3/atom
DFT total energy	-242.863	eV/cell

***

| no. | uncorrected formation energy (eV/f.u.) |
| --- | --- |
| 1 | 1.2 |
| 2 | 1.9 |
| 3 | -0.5 |
| 4 | 0.2 |
| 5 | -0.7 |
| 6 | 1.3 |
| 7 | -0.1 |
| 8 | -9.8 |